[1]
The following is a DFT calculation (PBE-GGA) of an optimized crystal structure of Ni10Hg.

The structure in POSCAR format:
```
Ni10Hg
1.0
3.912 -1.742 0.000
3.912 1.742 0.000
-0.046 0.000 31.596
Ni Hg
20 2
Cartesian
0.366 0.000 6.657
0.345 0.000 30.429
1.167 0.000 4.295
1.129 0.000 28.086
1.957 0.000 1.955
1.924 0.000 25.724
2.729 0.000 7.387
2.692 0.000 31.213
3.473 0.000 28.870
3.514 0.000 5.066
4.265 0.000 26.530
4.306 0.000 2.726
5.087 0.000 0.383
5.050 0.000 24.209
5.854 0.000 5.872
5.822 0.000 29.641
6.649 0.000 3.510
6.612 0.000 27.302
7.434 0.000 1.168
7.412 0.000 24.940
2.697 0.000 22.921
5.082 0.000 8.675
```

**Space group**: C2/m (12)
**Polymorph energy (0 for the lowest one)**: 0 meV/atom
**Energy of formation**: 0.10 eV per atom

***

[2]
The following is a DFT calculation (PBE-GGA) of an optimized crystal structure of Ni2Hg.

The structure in POSCAR format:
```
Ni2Hg
1.0
0.000 5.644 5.644
5.644 0.000 5.644
5.644 5.644 0.000
Ni Hg
4 2
Cartesian
0.000 0.000 0.000
2.822 2.822 0.000
2.822 0.000 2.822
0.000 2.822 2.822
1.411 1.411 1.411
9.878 9.878 9.878
```

**Space group**: Fd-3m (227)
**Energy of formation**: 2.13 eV per atom

***

[3]
The following is a DFT calculation (PBE-GGA) of an optimized crystal structure of NiHg3.

The structure in POSCAR format:
```
NiHg3
1.0
6.751 0.000 0.000
-3.375 5.846 0.000
0.000 0.000 4.159
Ni Hg
2 6
Cartesian
0.000 3.898 1.040
3.375 1.949 3.119
0.000 2.116 3.119
-1.543 4.789 3.119
1.832 1.058 1.040
1.543 4.789 3.119
4.919 1.058 1.040
3.375 3.731 1.040
```

**Space group**: P6_3/mmc (194)
**Polymorph energy (0 for the lowest one)**: 0 meV/atom
**Energy of formation**: 0.28 eV per atom

***

[4]
The following is a DFT calculation (PBE-GGA) of an optimized crystal structure of Ni2Hg.

The structure in POSCAR format:
```
Ni2Hg
1.0
0.000 3.475 3.475
3.475 0.000 3.475
3.475 3.475 0.000
Ni Hg
4 2
Cartesian
0.000 0.000 0.000
1.738 1.738 0.000
1.738 0.000 1.738
0.000 1.738 1.738
2.607 2.607 2.607
4.344 4.344 4.344
```

**Space group**: Fd-3m (227)
**Energy of formation**: 0.20 eV per atom

***

[5]
The following is a DFT calculation (PBE-GGA) of an optimized crystal structure of Ni3Hg2.

The structure in POSCAR format:
```
Ni3Hg2
1.0
6.270 0.000 0.000
0.000 6.270 0.000
0.000 0.000 3.912
Ni Hg
6 4
Cartesian
0.000 0.000 0.000
0.821 2.314 0.000
2.314 5.449 0.000
3.135 3.135 0.000
3.956 0.821 0.000
5.449 3.956 0.000
1.098 4.234 1.956
2.037 1.098 1.956
4.234 5.172 1.956
5.172 2.037 1.956
```

**Space group**: P4/mbm (127)
**Polymorph energy (0 for the lowest one)**: 0 meV/atom
**Energy of formation**: 0.26 eV per atom

***

[6]
The following is a DFT calculation (PBE-GGA) of an optimized crystal structure of Ni7Hg2.

The structure in POSCAR format:
```
Ni7Hg2
1.0
2.694 0.000 0.000
-1.347 2.333 0.000
0.000 0.000 30.357
Ni Hg
7 2
Cartesian
0.000 0.000 0.000
0.000 0.000 5.724
0.000 0.000 24.633
0.000 1.555 3.836
0.000 1.555 28.434
1.347 0.778 1.923
1.347 0.778 26.521
0.000 1.555 22.201
1.347 0.778 8.156
```

**Space group**: P-3m1 (164)
**Energy of formation**: 0.32 eV per atom

***

[7]
The following is a DFT calculation (PBE-GGA) of an optimized crystal structure of Ni124Hg.

The structure in POSCAR format:
```
Ni124Hg
1.0
0.000 8.764 8.764
8.764 0.000 8.764
8.764 8.764 0.000
Ni Hg
124 1
Cartesian
8.764 5.242 5.242
12.285 8.764 5.242
12.285 5.242 8.764
10.523 7.004 5.247
10.523 5.247 7.004
12.281 7.004 7.004
1.752 1.752 1.752
3.505 3.505 1.755
5.259 5.259 1.755
7.011 7.011 1.752
8.764 8.764 1.752
3.505 1.755 3.505
5.257 3.507 3.507
7.009 5.259 3.505
8.764 7.010 3.505
10.517 8.764 3.505
5.259 1.755 5.259
7.009 3.505 5.259
7.011 1.752 7.011
8.764 3.505 7.010
14.023 8.764 7.010
8.764 1.752 8.764
10.517 3.505 8.764
14.023 7.010 8.764
15.775 8.764 8.764
8.764 6.940 6.940
10.587 8.764 6.940
10.587 6.940 8.764
7.004 7.004 5.247
10.523 10.523 5.247
7.004 5.247 7.004
12.281 10.523 7.004
10.523 5.247 10.523
12.281 7.004 10.523
1.755 3.505 3.505
3.507 5.257 3.507
5.259 7.009 3.505
7.010 8.764 3.505
8.764 10.517 3.505
3.507 3.507 5.257
5.257 5.257 5.257
8.764 8.764 5.254
5.259 3.505 7.009
7.010 3.505 8.764
8.764 5.254 8.764
12.273 8.764 8.764
14.023 10.517 8.764
8.764 3.505 10.517
14.023 8.764 10.517
15.775 10.516 10.516
5.242 8.764 5.242
8.764 12.285 5.242
7.004 10.523 5.247
1.755 5.259 5.259
3.505 7.009 5.259
6.940 8.764 6.940
8.764 10.587 6.940
5.247 7.004 7.004
10.523 12.281 7.004
3.505 5.259 7.009
5.242 5.242 8.764
6.940 6.940 8.764
10.587 10.587 8.764
12.285 12.285 8.764
14.023 12.268 10.518
7.004 5.247 10.523
12.281 10.523 10.523
8.764 6.940 10.587
10.587 8.764 10.587
14.023 10.518 12.268
15.773 12.268 12.268
10.523 7.004 12.281
8.764 5.242 12.285
12.285 8.764 12.285
1.752 7.011 7.011
3.505 8.764 7.010
8.764 14.023 7.010
3.505 7.010 8.764
5.254 8.764 8.764
8.764 12.273 8.764
10.517 14.023 8.764
12.268 14.023 10.518
8.764 8.764 12.273
12.270 12.270 12.270
14.021 14.021 12.270
8.764 7.010 14.023
10.517 8.764 14.023
12.268 10.518 14.023
14.021 12.270 14.021
15.773 14.023 14.023
5.247 10.523 7.004
7.004 12.281 7.004
5.247 7.004 10.523
10.523 12.281 10.523
7.004 7.004 12.281
10.523 10.523 12.281
6.940 10.587 8.764
6.940 8.764 10.587
8.764 10.587 10.587
1.752 8.764 8.764
3.505 10.517 8.764
7.010 14.023 8.764
8.764 15.775 8.764
3.505 8.764 10.517
8.764 14.023 10.517
10.516 15.775 10.516
10.518 14.023 12.268
12.268 15.773 12.268
7.010 8.764 14.023
8.764 10.517 14.023
10.518 12.268 14.023
12.270 14.021 14.021
14.023 15.773 14.023
8.764 8.764 15.775
10.516 10.516 15.775
12.268 12.268 15.773
14.023 14.023 15.773
15.775 15.775 15.775
5.247 10.523 10.523
7.004 12.281 10.523
7.004 10.523 12.281
5.242 12.285 8.764
5.242 8.764 12.285
8.764 12.285 12.285
8.764 8.764 8.764
```

**Space group**: Fm-3m (225)
**Energy of formation**: 0.01 eV per atom

***

[8]
The following is a DFT calculation (PBE-GGA) of an optimized crystal structure of NpNiHg.

The structure in POSCAR format:
```
NpNiHg
1.0
6.629 0.000 0.000
0.000 6.629 0.000
0.000 0.000 6.629
Np Ni Hg
4 4 4
Cartesian
0.000 0.000 0.000
0.000 3.315 3.315
3.315 0.000 3.315
3.315 3.315 0.000
0.000 0.000 3.315
0.000 3.315 0.000
3.315 0.000 0.000
3.315 3.315 3.315
1.657 1.657 4.972
1.657 4.972 1.657
4.972 1.657 1.657
4.972 4.972 4.972
```

**Space group**: F-43m (216)
**Energy of formation**: 0.73 eV per atom

***

[9]
The following is a DFT calculation (PBE-GGA) of an optimized crystal structure of NiSnHgOs.

The structure in POSCAR format:
```
NiSnHgOs
1.0
6.485 0.000 0.000
0.000 6.485 0.000
0.000 0.000 6.485
Ni Sn Hg Os
4 4 4 4
Cartesian
0.000 0.000 0.000
0.000 3.242 3.242
3.242 0.000 3.242
3.242 3.242 0.000
1.621 1.621 4.864
1.621 4.864 1.621
4.864 1.621 1.621
4.864 4.864 4.864
0.000 0.000 3.242
0.000 3.242 0.000
3.242 0.000 0.000
3.242 3.242 3.242
1.621 1.621 1.621
1.621 4.864 4.864
4.864 1.621 4.864
4.864 4.864 1.621
```

**Space group**: F-43m (216)
**DFT total energy**: -4.450 eV/atom

***

[10]
The following is a DFT calculation (PBE-GGA) of an optimized crystal structure of TlNiHgOs.

The structure in POSCAR format:
```
TlNiHgOs
1.0
6.524 0.000 0.000
0.000 6.524 0.000
0.000 0.000 6.524
Tl Ni Hg Os
4 4 4 4
Cartesian
0.000 0.000 0.000
0.000 3.262 3.262
3.262 0.000 3.262
3.262 3.262 0.000
1.631 1.631 1.631
1.631 4.893 4.893
4.893 1.631 4.893
4.893 4.893 1.631
1.631 1.631 4.893
1.631 4.893 1.631
4.893 1.631 1.631
4.893 4.893 4.893
0.000 0.000 3.262
0.000 3.262 0.000
3.262 0.000 0.000
3.262 3.262 3.262
```

**Space group**: F-43m (216)
**DFT total energy**: -3.864 eV/atom

***

Calculated volume: 19.58; 59.94; 20.52; 13.99; 15.38; 21.20; 10.77; 24.28; 17.04; 17.35 (A^3/atom)